1.
The following is a DFT calculation (PBE-GGA) of an optimized crystal structure of AcCuAu2O8.

It has space group I-4m2 (No. 119), with a = 7.3005 Å, b = 7.3005 Å, c = 6.9125 Å, α = 90.00°, β = 90.00° and γ = 90.00°. Symmetry generates all atoms from Ac at (0.0000, 0.0000, 0.0000), Cu at (0.0000, 0.5000, 0.2500), Au at (0.0000, 0.0000, 0.5000), Au at (0.0000, 0.5000, 0.7500), O at (0.0000, 0.1864, 0.2929) and O at (0.0000, 0.3425, 0.9808).

The total energy comes out at -115.0 eV/cell. The value obtained for the raw formation energy is -3.1 eV per formula unit.

***

2.
The following is a DFT calculation (PBE-GGA) of an optimized crystal structure of ScSbSe.

It has space group P2_1 (No. 4), with a = 3.9222 Å, b = 5.1844 Å, c = 7.5637 Å, α = 90.00°, β = 95.80° and γ = 90.00°. Symmetry generates all atoms from Sc at (0.2482, 0.0000, 0.1696), Sb at (0.2118, 0.6998, 0.5258) and Se at (0.2901, 0.5023, 0.0732).

The total energy comes out at -33.7 eV/cell. The value obtained for the raw formation energy is -2.9 eV per formula unit.

***

3.
The following is a DFT calculation (PBE-GGA) of an optimized crystal structure of MgNbCl.

It has space group P1 (No. 1), with a = 3.2165 Å, b = 3.2173 Å, c = 14.3296 Å, α = 89.63°, β = 89.77° and γ = 63.05°. Symmetry generates all atoms from Mg at (0.0000, 0.0000, 0.0000), Mg at (0.3437, 0.3542, 0.8205), Nb at (0.3708, 0.3693, 0.1691), Nb at (0.8654, 0.8615, 0.3178), Cl at (0.1936, 0.1874, 0.4396) and Cl at (0.6867, 0.6994, 0.7120).

The total energy comes out at -30.4 eV/cell. The value obtained for the raw formation energy is -1.7 eV per formula unit. The calculation puts the distance to the lowest polymorph of the same formula at 5.3 kJ/mol of atoms.

***

4.
The following is a DFT calculation (PBE-GGA) of an optimized crystal structure of Ca3In2Pd7.

It has space group R-3m (No. 166, hexagonal axes), with a = 5.6732 Å, b = 5.6732 Å, c = 26.0092 Å, α = 90.00°, β = 90.00° and γ = 120.00°. Symmetry generates all atoms from Ca at (0.0000, 0.0000, 0.0000), Ca at (0.0000, 0.0000, 0.1399), In at (0.0000, 0.0000, 0.3336), Pd at (0.0000, 0.0000, 0.5000) and Pd at (0.0023, 0.5012, 0.9163).

The total energy comes out at -166.3 eV/cell.

***

5.
The following is a DFT calculation (PBE-GGA) of an optimized crystal structure of CsPdPt.

It has space group P-6m2 (No. 187), with a = 4.3877 Å, b = 4.3877 Å, c = 5.5869 Å, α = 90.00°, β = 90.00° and γ = 120.00°. Symmetry generates all atoms from Cs at (0.0000, 0.0000, 0.0000), Pd at (0.6667, 0.3333, 0.5000) and Pt at (0.3333, 0.6667, 0.5000).

The total energy comes out at -11.5 eV/cell. The calculation puts the distance to the lowest polymorph of the same formula at 28.1 kJ/mol of atoms.

***

6.
The following is a DFT calculation (PBE-GGA) of an optimized crystal structure of LaZn3Br.

It has space group Pm-3m (No. 221), with a = 5.2338 Å, b = 5.2338 Å, c = 5.2338 Å, α = 90.00°, β = 90.00° and γ = 90.00°. Symmetry generates all atoms from La at (0.0000, 0.0000, 0.0000), Zn at (0.0000, 0.5000, 0.5000) and Br at (0.5000, 0.5000, 0.5000).

The total energy comes out at -8.3 eV/cell. The value obtained for the raw formation energy is 2.2 eV per formula unit. The calculation puts the distance to the lowest polymorph of the same formula at 0.0 kJ/mol of atoms.

***

7.
The following is a DFT calculation (PBE-GGA) of an optimized crystal structure of CaPmPBr.

It has space group R3m (No. 160, hexagonal axes), with a = 4.1054 Å, b = 4.1054 Å, c = 22.2413 Å, α = 90.00°, β = 90.00° and γ = 120.00°. Symmetry generates all atoms from Ca at (0.0000, 0.0000, 0.0000), Pm at (0.0000, 0.0000, 0.8026), P at (0.0000, 0.0000, 0.3999) and Br at (0.0000, 0.0000, 0.5702).

The total energy comes out at -59.0 eV/cell. The value obtained for the raw formation energy is -5.8 eV per formula unit.

***

8.
The following is a DFT calculation (PBE-GGA) of an optimized crystal structure of LiCa3Ge.

It has space group Cmcm (No. 63), with a = 5.1905 Å, b = 21.0820 Å, c = 5.1809 Å, α = 90.00°, β = 90.00° and γ = 90.00°. Symmetry generates all atoms from Li at (0.0000, 0.1634, 0.2500), Ca at (0.0000, 0.0709, 0.7500), Ca at (0.0000, 0.2492, 0.7500), Ca at (0.0000, 0.4261, 0.7500) and Ge at (0.0000, 0.3347, 0.2500).

The total energy comes out at -56.3 eV/cell. The calculation puts the distance to the lowest polymorph of the same formula at 0.0 kJ/mol of atoms.

***

9.
The following is a DFT calculation (PBE-GGA) of an optimized crystal structure of RbPaVN4.

It has space group P2_1/m (No. 11), with a = 5.9567 Å, b = 5.7455 Å, c = 8.0851 Å, α = 90.00°, β = 108.90° and γ = 90.00°. Symmetry generates all atoms from Rb at (0.1891, 0.2500, 0.4288), Pa at (0.2862, 0.2500, 0.9522), V at (0.2560, 0.7500, 0.1582), N at (0.0400, 0.7500, 0.2751), N at (0.0428, 0.7500, 0.9488) and N at (0.4610, 0.5127, 0.1611).

The total energy comes out at -116.6 eV/cell. The value obtained for the raw formation energy is -5.4 eV per formula unit.

***

10.
The following is a DFT calculation (PBE-GGA) of an optimized crystal structure of Mn2AlRe.

It has space group I-42d (No. 122), with a = 6.7893 Å, b = 6.7893 Å, c = 5.1690 Å, α = 90.00°, β = 90.00° and γ = 90.00°. Symmetry generates all atoms from Mn at (0.2290, 0.2500, 0.1250), Al at (0.0000, 0.0000, 0.5000) and Re at (0.0000, 0.0000, 0.0000).

The total energy comes out at -129.0 eV/cell.

***

11.
The following is a DFT calculation (PBE-GGA) of an optimized crystal structure of ScCoPb3.

It has space group Pm-3m (No. 221), with a = 5.5641 Å, b = 5.5641 Å, c = 5.5641 Å, α = 90.00°, β = 90.00° and γ = 90.00°. Symmetry generates all atoms from Sc at (0.0000, 0.0000, 0.0000), Co at (0.5000, 0.5000, 0.5000) and Pb at (0.0000, 0.0000, 0.5000).

The total energy comes out at -19.6 eV/cell. The calculation puts the distance to the lowest polymorph of the same formula at 64.1 kJ/mol of atoms.

***

12.
The following is a DFT calculation (PBE-GGA) of an optimized crystal structure of Zn2NiAs.

It has space group P4mm (No. 99), with a = 2.8097 Å, b = 2.8097 Å, c = 7.6941 Å, α = 90.00°, β = 90.00° and γ = 90.00°. Symmetry generates all atoms from Zn at (0.0000, 0.0000, 0.0000), Zn at (0.5000, 0.5000, 0.2512), Ni at (0.5000, 0.5000, 0.7818) and As at (0.0000, 0.0000, 0.5836).

The total energy comes out at -13.1 eV/cell.

***

13.
The following is a DFT calculation (PBE-GGA) of an optimized crystal structure of Sm3Te3As2.

It has space group P6_3/mcm (No. 193), with a = 9.2624 Å, b = 9.2624 Å, c = 5.9212 Å, α = 90.00°, β = 90.00° and γ = 120.00°. Symmetry generates all atoms from Sm at (0.0000, 0.3873, 0.2500), Te at (0.0000, 0.2605, 0.7500) and As at (0.3333, 0.6667, 0.0000).

The total energy comes out at -84.1 eV/cell. The value obtained for the raw formation energy is -9.2 eV per formula unit.

***

14.
The following is a DFT calculation (PBE-GGA) of an optimized crystal structure of ZrCu2Pd6.

It has space group C2/m (No. 12), with a = 7.6710 Å, b = 5.4900 Å, c = 7.0586 Å, α = 90.00°, β = 104.80° and γ = 90.00°. Symmetry generates all atoms from Zr at (0.0000, 0.0000, 0.0000), Cu at (0.2414, 0.0000, 0.5024), Pd at (0.0426, 0.2588, 0.6978) and Pd at (0.1731, 0.5000, 0.0799).

The total energy comes out at -100.7 eV/cell. The calculation puts the distance to the lowest polymorph of the same formula at 4.6 kJ/mol of atoms.

***

15.
The following is a DFT calculation (PBE-GGA) of an optimized crystal structure of MnAgSe2.

It has space group P4/mmm (No. 123), with a = 3.7658 Å, b = 3.7658 Å, c = 5.3118 Å, α = 90.00°, β = 90.00° and γ = 90.00°. Symmetry generates all atoms from Mn at (0.0000, 0.0000, 0.0000), Ag at (0.5000, 0.5000, 0.5000), Se at (0.0000, 0.0000, 0.5000) and Se at (0.5000, 0.5000, 0.0000).

The total energy comes out at -17.7 eV/cell. The value obtained for the raw formation energy is 1.3 eV per formula unit.

***

16.
The following is a DFT calculation (PBE-GGA) of an optimized crystal structure of MnIrRh2.

It has space group I-4m2 (No. 119), with a = 3.8179 Å, b = 3.8179 Å, c = 7.6069 Å, α = 90.00°, β = 90.00° and γ = 90.00°. Symmetry generates all atoms from Mn at (0.0000, 0.0000, 0.0000), Ir at (0.0000, 0.5000, 0.7500), Rh at (0.0000, 0.0000, 0.5000) and Rh at (0.0000, 0.5000, 0.2500).

The total energy comes out at -66.3 eV/cell.

***

17.
The following is a DFT calculation (PBE-GGA) of an optimized crystal structure of SrTcSbTe2.

It has space group P4/mmm (No. 123), with a = 5.5704 Å, b = 5.5704 Å, c = 5.0568 Å, α = 90.00°, β = 90.00° and γ = 90.00°. Symmetry generates all atoms from Sr at (0.0000, 0.0000, 0.0000), Tc at (0.5000, 0.5000, 0.5000), Sb at (0.5000, 0.5000, 0.0000) and Te at (0.0000, 0.5000, 0.5000).

The total energy comes out at -23.3 eV/cell. The value obtained for the raw formation energy is -0.9 eV per formula unit. The calculation puts the distance to the lowest polymorph of the same formula at 0.0 kJ/mol of atoms.

***

18.
The following is a DFT calculation (PBE-GGA) of an optimized crystal structure of ZnIn2As.

It has space group R-3m (No. 166, hexagonal axes), with a = 3.2070 Å, b = 3.2070 Å, c = 29.8408 Å, α = 90.00°, β = 90.00° and γ = 120.00°. Symmetry generates all atoms from Zn at (0.0000, 0.0000, 0.0000), In at (0.0000, 0.0000, 0.2533) and As at (0.0000, 0.0000, 0.5000).

The total energy comes out at -31.7 eV/cell. The calculation puts the distance to the lowest polymorph of the same formula at 16.1 kJ/mol of atoms.

***

19.
The following is a DFT calculation (PBE-GGA) of an optimized crystal structure of Zr2ZnSi.

It has space group P4mm (No. 99), with a = 3.8433 Å, b = 3.8433 Å, c = 5.4421 Å, α = 90.00°, β = 90.00° and γ = 90.00°. Symmetry generates all atoms from Zr at (0.0000, 0.0000, 0.0000), Zr at (0.5000, 0.5000, 0.4990), Zn at (0.0000, 0.0000, 0.5002) and Si at (0.5000, 0.5000, 0.9990).

The total energy comes out at -24.9 eV/cell. The value obtained for the raw formation energy is -1.1 eV per formula unit.

***

20.
The following is a DFT calculation (PBE-GGA) of an optimized crystal structure of LiCdSe2.

It has space group F-43m (No. 216), with a = 6.9620 Å, b = 6.9620 Å, c = 6.9620 Å, α = 90.00°, β = 90.00° and γ = 90.00°. Symmetry generates all atoms from Li at (0.0000, 0.0000, 0.0000), Cd at (0.2500, 0.2500, 0.7500), Se at (0.0000, 0.0000, 0.5000) and Se at (0.2500, 0.2500, 0.2500).

The total energy comes out at -40.4 eV/cell. The value obtained for the raw formation energy is -0.3 eV per formula unit.